(1)
This record from Alexandria via LeMat-Bulk describes ZnAg2Ge2 after structural relaxation. The functional is PBE.

Output
As for the excess energy over the best structure of this formula in the dataset: 0.007 eV/atom. As for the volume: 19.34 Å³ per atom. The calculation puts the energy at -2.9717 eV/atom. The value obtained for the energy relative to the elements is 0.2705 eV per atom.

```
ZnAg2Ge2
1.0
-1.8426 1.8426 7.1196
1.8426 -1.8426 7.1196
1.8426 1.8426 -7.1196
Zn Ag Ge
1 2 2
direct
0.0000 0.0000 0.0000
0.4057 0.4057 0.0000
0.5943 0.5943 0.0000
0.2500 0.7500 0.5000
0.7500 0.2500 0.5000
```

=====

(2)
This record from Alexandria via LeMat-Bulk describes NaSbAs2Br after structural relaxation. The functional is PBE.

Output
As for the excess energy over the best structure of this formula in the dataset: 0.000 eV/atom. As for the volume: 34.13 Å³ per atom. As for the uncorrected formation energy: 0.19 eV/atom. The calculation puts the energy at -3.0922 eV/atom.

```
NaSbAs2Br
1.0
5.3277 0.0000 0.0000
0.0000 5.3277 0.0000
0.0000 0.0000 6.0123
Na Sb As Br
1 1 2 1
direct
0.0000 0.0000 0.0000
0.5000 0.5000 0.5000
0.0000 0.5000 0.5000
0.5000 0.0000 0.5000
0.5000 0.5000 0.0000
```

=====

(3)
This record from Alexandria via LeMat-Bulk describes RuPbI after structural relaxation. The functional is PBE.

Output
As for the excess energy over the best structure of this formula in the dataset: 0.060 eV/atom. As for the volume: 28.96 Å³ per atom. As for the uncorrected formation energy: 0.27 eV/atom. The calculation puts the energy at -4.5796 eV/atom.

```
RuPbI
1.0
3.7701 0.0000 0.0000
0.0218 6.8053 0.0000
0.0207 1.5780 6.7725
Ru Pb I
2 2 2
direct
0.2494 0.1192 0.4762
0.7506 0.8808 0.5238
0.2524 0.8615 0.2070
0.7476 0.1385 0.7930
0.2509 0.6222 0.7344
0.7491 0.3778 0.2656
```

=====

(4)
This record from Alexandria via LeMat-Bulk describes SrZrPt2 after structural relaxation. The functional is PBE.

Output
As for the excess energy over the best structure of this formula in the dataset: 0.181 eV/atom. As for the volume: 22.68 Å³ per atom. The calculation puts the energy at -6.3083 eV/atom. The value obtained for the energy relative to the elements is -0.7304 eV per atom.

```
SrZrPt2
1.0
4.5846 0.0000 0.0000
0.0000 1.8061 5.4779
0.0000 -1.8061 5.4779
Sr Zr Pt
1 1 2
direct
0.0000 0.0000 0.0000
0.5000 0.2707 0.2707
0.0000 0.7363 0.7363
0.5000 0.5771 0.5771
```

=====

(5)
This record from Alexandria via LeMat-Bulk describes SiIr after structural relaxation. The functional is PBE.

Output
As for the volume: 23.51 Å³ per atom. As for the uncorrected formation energy: 0.00 eV/atom. The calculation puts the energy at -7.1387 eV/atom.

```
SiIr
1.0
6.5588 0.0000 0.0000
0.0000 6.5588 0.0000
0.0000 0.0000 6.5588
Si Ir
6 6
direct
0.0000 0.2500 0.5000
0.0000 0.7500 0.5000
0.2500 0.5000 0.0000
0.5000 0.0000 0.2500
0.5000 0.0000 0.7500
0.7500 0.5000 0.0000
0.0000 0.5000 0.2500
0.0000 0.5000 0.7500
0.2500 0.0000 0.5000
0.5000 0.2500 0.0000
0.5000 0.7500 0.0000
0.7500 0.0000 0.5000
```

=====

(6)
This record from Alexandria via LeMat-Bulk describes Er6CuOs2 after structural relaxation. The functional is PBE.

Output
As for the volume: 24.60 Å³ per atom. The calculation puts the energy at -6.1842 eV/atom. The value obtained for the energy relative to the elements is -0.1916 eV per atom.

```
Er6CuOs2
1.0
6.4954 0.0000 0.0000
0.0000 7.4260 0.0000
-6.0299 0.0000 9.1792
Er Cu Os
12 2 4
direct
0.0777 0.0490 0.2374
0.0777 0.4510 0.7374
0.2162 0.6773 0.0688
0.2162 0.8227 0.5688
0.3974 0.1661 0.0676
0.3974 0.3339 0.5676
0.6026 0.6661 0.4324
0.6026 0.8339 0.9324
0.7838 0.1773 0.4312
0.7838 0.3227 0.9312
0.9223 0.5490 0.2626
0.9223 0.9510 0.7626
0.5000 0.0000 0.5000
0.5000 0.5000 0.0000
0.2974 0.1222 0.7577
0.2974 0.3778 0.2577
0.7026 0.6222 0.7423
0.7026 0.8778 0.2423
```